1.
Crystalline Ag2TeAu at its relaxed geometry. Source: Alexandria via LeMat-Bulk, functional PBE-GGA.

The structure in extended XYZ format:
```
4
Lattice="4.678 -1.526 0.000 4.678 1.526 0.000 -1.867 0.000 6.738" Properties=species:S:1:pos:R:3 pbc="T T T"
Ag 0.000 0.000 0.000
Ag 4.913 0.000 5.332
Te 2.480 0.000 1.492
Au 2.361 0.000 4.239
```

Results
- formation energy without anion corrections (eV per atom) = 0.072
- crystal system = monoclinic

=====

2.
Crystalline AcPrMg2Hg4 at its relaxed geometry. Source: Alexandria via LeMat-Bulk, functional PBE-GGA.

The structure in extended XYZ format:
```
8
Lattice="2.647 1.528 8.689 -2.647 1.528 8.689 0.000 -3.057 8.689" Properties=species:S:1:pos:R:3 pbc="T T T"
Ac 0.000 0.000 0.000
Pr 0.000 0.000 13.033
Mg 0.000 0.000 6.466
Mg 0.000 0.000 19.600
Hg 0.000 0.000 3.334
Hg 0.000 0.000 9.865
Hg 0.000 0.000 16.201
Hg 0.000 0.000 22.731
```

Results
- crystal system = trigonal
- calculated formation energy (eV per atom) = -0.45

=====

3.
Crystalline Li2Pd5Pb at its relaxed geometry. Source: Alexandria via LeMat-Bulk, functional PBE-GGA.

The structure in extended XYZ format:
```
16
Lattice="-3.380 3.380 5.469 3.380 -3.380 5.469 3.380 3.380 -5.469" Properties=species:S:1:pos:R:3 pbc="T T T"
Li 4.374 0.994 0.000
Li 0.994 2.385 0.000
Li 2.385 0.994 5.469
Li -0.994 2.385 5.469
Pd 0.000 0.000 0.000
Pd 4.375 -0.995 1.638
Pd 2.385 -0.995 3.831
Pd 2.385 0.995 1.638
Pd 4.375 0.995 3.831
Pd 0.000 0.000 5.469
Pd -0.995 2.385 1.638
Pd 0.995 2.385 3.831
Pd 0.995 4.375 1.638
Pd -0.995 4.375 3.831
Pb 0.000 0.000 2.734
Pb 0.000 0.000 8.203
```

Results
- energy relative to the lowest polymorph listed for this composition (eV/atom) = 0.078
- crystal system = tetragonal
- calculated formation energy (eV per atom) = -0.29

=====

4.
Crystalline Ac2Zn3AgGe4 at its relaxed geometry. Source: Alexandria via LeMat-Bulk, functional PBE-GGA.

The structure in extended XYZ format:
```
10
Lattice="4.547 0.000 0.000 0.000 4.547 0.000 0.000 0.000 10.452" Properties=species:S:1:pos:R:3 pbc="T T T"
Ac 0.000 2.274 2.566
Ac 2.274 0.000 7.885
Zn 0.000 2.274 9.170
Zn 2.274 0.000 1.282
Zn 2.274 2.274 5.226
Ag 0.000 0.000 5.226
Ge 0.000 0.000 0.000
Ge 0.000 2.274 6.674
Ge 2.274 0.000 3.778
Ge 2.274 2.274 0.000
```

Results
- crystal system = tetragonal
- calculated formation energy (eV per atom) = -0.45

=====

5.
Crystalline CePr2Eu at its relaxed geometry. Source: Alexandria via LeMat-Bulk, functional PBE-GGA.

The structure in extended XYZ format:
```
4
Lattice="5.196 0.000 0.000 0.000 5.196 0.000 0.000 0.000 5.243" Properties=species:S:1:pos:R:3 pbc="T T T"
Ce 0.000 0.000 0.000
Pr 0.000 2.598 2.622
Pr 2.598 0.000 2.622
Eu 2.598 2.598 0.000
```

Results
- energy relative to the lowest polymorph listed for this composition (eV/atom) = 0.000
- crystal system = tetragonal
- calculated formation energy (eV per atom) = 0.14

=====

6.
Crystalline SbTe2Pt at its relaxed geometry. Source: Alexandria via LeMat-Bulk, functional PBE-GGA.

The structure in extended XYZ format:
```
4
Lattice="2.925 -4.325 0.000 2.925 4.325 0.000 0.000 0.000 4.047" Properties=species:S:1:pos:R:3 pbc="T T T"
Sb 0.000 0.000 0.000
Te 2.925 1.837 2.024
Te 2.925 -1.837 2.024
Pt 2.925 0.000 0.000
```

Results
- formation energy without anion corrections (eV per atom) = -0.148
- crystal system = orthorhombic

=====

7.
Crystalline La12Pr3Sm at its relaxed geometry. Source: Alexandria via LeMat-Bulk, functional PBE-GGA.

The structure in extended XYZ format:
```
16
Lattice="5.251 0.000 0.000 0.000 5.251 0.000 0.000 0.000 21.028" Properties=species:S:1:pos:R:3 pbc="T T T"
La 0.000 0.000 0.000
La 0.000 0.000 5.238
La 0.000 0.000 10.514
La 0.000 0.000 15.790
La 0.000 2.626 2.606
La 0.000 2.626 7.875
La 0.000 2.626 13.153
La 0.000 2.626 18.422
La 2.626 0.000 2.606
La 2.626 0.000 7.875
La 2.626 0.000 13.153
La 2.626 0.000 18.422
Pr 2.626 2.626 5.242
Pr 2.626 2.626 10.514
Pr 2.626 2.626 15.786
Sm 2.626 2.626 0.000
```

Results
- crystal system = tetragonal
- calculated formation energy (eV per atom) = 0.00

=====

8.
Crystalline Y2Al5Ni3 at its relaxed geometry. Source: Alexandria via LeMat-Bulk, functional PBE-GGA.

The structure in extended XYZ format:
```
20
Lattice="2.074 -12.325 0.000 2.074 12.325 0.000 0.000 0.000 6.546" Properties=species:S:1:pos:R:3 pbc="T T T"
Y 2.074 11.807 3.273
Y 2.074 4.308 3.578
Y 2.074 -4.308 0.305
Y 2.074 -11.807 0.000
Al 2.074 9.893 5.647
Al 2.074 7.201 2.332
Al 2.074 7.082 4.941
Al 2.074 3.172 0.163
Al 2.074 1.384 4.399
Al 2.074 -1.384 1.126
Al 2.074 -3.172 3.437
Al 2.074 -7.082 1.668
Al 2.074 -7.201 5.606
Al 2.074 -9.893 2.374
Ni 2.074 9.626 1.620
Ni 2.074 5.615 0.379
Ni 2.074 1.216 1.870
Ni 2.074 -1.216 5.143
Ni 2.074 -5.615 3.652
Ni 2.074 -9.626 4.893
```

Results
- crystal system = orthorhombic
- calculated formation energy (eV per atom) = -0.58